[1]
Computed, not measured: a relaxed LiTeH12N4 crystal at the PBE level of DFT.

a = 6.903 Å, b = 7.355 Å, c = 8.545 Å
α = 76.60°, β = 66.64°, γ = 86.77°
Positions (direct):
1 Li 0.197 0.418 0.215
2 Li 0.803 0.582 0.785
3 Te 0.360 0.048 0.655
4 Te 0.640 0.952 0.345
5 H 0.017 0.726 0.183
6 H 0.029 0.367 0.953
7 H 0.045 0.213 0.521
8 H 0.120 0.099 0.173
9 H 0.130 0.624 0.462
10 H 0.140 0.793 0.555
11 H 0.190 0.755 0.980
12 H 0.331 0.154 0.990
13 H 0.357 0.102 0.177
14 H 0.412 0.527 0.844
15 H 0.460 0.376 0.364
16 H 0.483 0.606 0.296
17 H 0.517 0.394 0.704
18 H 0.540 0.624 0.636
19 H 0.588 0.473 0.156
20 H 0.643 0.898 0.823
21 H 0.669 0.846 0.010
22 H 0.810 0.245 0.020
23 H 0.860 0.207 0.445
24 H 0.870 0.376 0.538
25 H 0.880 0.901 0.827
26 H 0.955 0.787 0.479
27 H 0.971 0.633 0.047
28 H 0.983 0.274 0.817
29 N 0.038 0.704 0.545
30 N 0.089 0.657 0.085
31 N 0.263 0.172 0.116
32 N 0.457 0.485 0.265
33 N 0.543 0.515 0.735
34 N 0.737 0.828 0.884
35 N 0.911 0.343 0.915
36 N 0.962 0.296 0.455

[2]
Computed, not measured: a relaxed SmEr2Zn2 crystal at the PBE level of DFT.

As for the calculated formation energy: -18.9 kJ/mol of atoms. The energy above the most stable polymorph in this dataset is 0.066 eV/atom.

a = 8.070 Å, b = 8.070 Å, c = 6.182 Å
α = 90.00°, β = 90.00°, γ = 142.19°
Positions (direct):
1 Sm 0.084 0.916 0.500
2 Sm 0.916 0.084 0.000
3 Er 0.300 0.700 0.743
4 Er 0.458 0.542 0.350
5 Er 0.542 0.458 0.850
6 Er 0.700 0.300 0.243
7 Zn 0.126 0.874 0.007
8 Zn 0.279 0.721 0.236
9 Zn 0.721 0.279 0.736
10 Zn 0.874 0.126 0.507

[3]
Computed, not measured: a relaxed MgTiMn crystal at the PBE level of DFT.

As for the calculated formation energy: 44.5 kJ/mol of atoms.

a = 3.311 Å, b = 3.311 Å, c = 5.213 Å
α = 90.00°, β = 90.00°, γ = 90.00°
Positions (direct):
1 Mg 0.000 0.000 0.000
2 Ti 0.500 0.500 0.500
3 Mn 0.000 0.000 0.500

[4]
Computed, not measured: a relaxed HfTl2RuAu crystal at the PBE level of DFT.

As for the calculated formation energy: 34.5 kJ/mol of atoms.

a = 5.235 Å, b = 5.235 Å, c = 4.862 Å
α = 90.00°, β = 90.00°, γ = 90.00°
Positions (direct):
1 Hf 0.000 0.000 0.000
2 Tl 0.000 0.500 0.500
3 Tl 0.500 0.000 0.500
4 Ru 0.000 0.000 0.500
5 Au 0.500 0.500 0.000

[5]
Computed, not measured: a relaxed TeRh3C crystal at the PBE level of DFT.

The energy above the most stable polymorph in this dataset is 1.990 eV/atom.

a = 4.830 Å, b = 4.830 Å, c = 4.830 Å
α = 90.00°, β = 90.00°, γ = 90.00°
Positions (direct):
1 Te 0.000 0.000 0.000
2 Rh 0.000 0.000 0.500
3 Rh 0.000 0.500 0.000
4 Rh 0.500 0.000 0.000
5 C 0.500 0.500 0.500

[6]
Computed, not measured: a relaxed Zn2HIr2 crystal at the PBE level of DFT.

The energy above the most stable polymorph in this dataset is 0.360 eV/atom.

a = 5.311 Å, b = 5.311 Å, c = 4.444 Å
α = 90.00°, β = 90.00°, γ = 90.00°
Positions (direct):
1 Zn 0.165 0.335 0.000
2 Zn 0.335 0.835 0.000
3 Zn 0.665 0.165 0.000
4 Zn 0.835 0.665 0.000
5 H 0.000 0.000 0.000
6 H 0.500 0.500 0.000
7 Ir 0.173 0.673 0.500
8 Ir 0.327 0.173 0.500
9 Ir 0.673 0.827 0.500
10 Ir 0.827 0.327 0.500

[7]
Computed, not measured: a relaxed NaTaCd crystal at the PBE level of DFT.

As for the calculated formation energy: 20.8 kJ/mol of atoms. The energy above the most stable polymorph in this dataset is 0.077 eV/atom.

a = 3.052 Å, b = 3.838 Å, c = 11.939 Å
α = 90.00°, β = 90.00°, γ = 90.00°
Positions (direct):
1 Na 0.250 0.250 0.118
2 Na 0.750 0.750 0.882
3 Ta 0.250 0.250 0.438
4 Ta 0.750 0.750 0.562
5 Cd 0.250 0.250 0.710
6 Cd 0.750 0.750 0.290

[8]
Computed, not measured: a relaxed Mg2CuBr crystal at the PBE level of DFT.

The energy above the most stable polymorph in this dataset is 0.069 eV/atom.

a = 3.323 Å, b = 3.323 Å, c = 7.327 Å
α = 90.00°, β = 90.00°, γ = 90.00°
Positions (direct):
1 Mg 0.000 0.000 0.203
2 Mg 0.000 0.000 0.797
3 Cu 0.500 0.500 0.000
4 Br 0.500 0.500 0.500

[9]
Computed, not measured: a relaxed LiFe8 crystal at the PBE level of DFT.

As for the calculated formation energy: 21.6 kJ/mol of atoms.

a = 5.617 Å, b = 5.617 Å, c = 5.617 Å
α = 95.39°, β = 95.39°, γ = 144.32°
Positions (direct):
1 Li 0.000 0.000 0.000
2 Fe 0.000 0.333 0.333
3 Fe 0.000 0.667 0.667
4 Fe 0.326 0.326 0.651
5 Fe 0.326 0.674 0.000
6 Fe 0.333 0.000 0.333
7 Fe 0.667 0.000 0.667
8 Fe 0.674 0.326 0.000
9 Fe 0.674 0.674 0.349

[10]
Computed, not measured: a relaxed La4Y7Ho crystal at the PBE level of DFT.

As for the calculated formation energy: 1.6 kJ/mol of atoms. The energy above the most stable polymorph in this dataset is 0.000 eV/atom.

a = 3.632 Å, b = 3.632 Å, c = 35.326 Å
α = 90.00°, β = 90.00°, γ = 120.00°
Positions (direct):
1 La 0.333 0.667 0.165
2 La 0.333 0.667 0.416
3 La 0.667 0.333 0.584
4 La 0.667 0.333 0.835
5 Y 0.000 0.000 0.250
6 Y 0.000 0.000 0.500
7 Y 0.000 0.000 0.750
8 Y 0.333 0.667 0.669
9 Y 0.333 0.667 0.919
10 Y 0.667 0.333 0.081
11 Y 0.667 0.333 0.331
12 Ho 0.000 0.000 0.000

[11]
Computed, not measured: a relaxed NaPdCl crystal at the PBE level of DFT.

The energy above the most stable polymorph in this dataset is 0.344 eV/atom.

a = 11.404 Å, b = 3.714 Å, c = 3.714 Å
α = 55.49°, β = 90.00°, γ = 90.00°
Positions (direct):
1 Na 0.186 0.000 0.000
2 Na 0.814 0.000 0.000
3 Pd 0.000 0.313 0.313
4 Pd 0.500 0.814 0.814
5 Cl 0.342 0.314 0.314
6 Cl 0.658 0.314 0.314

[12]
Computed, not measured: a relaxed Er4Al12Pt crystal at the PBE level of DFT.

As for the calculated formation energy: -54.3 kJ/mol of atoms.

a = 7.461 Å, b = 7.461 Å, c = 7.461 Å
α = 109.47°, β = 109.47°, γ = 109.47°
Positions (direct):
1 Er 0.000 0.000 0.500
2 Er 0.000 0.500 0.000
3 Er 0.500 0.000 0.000
4 Er 0.500 0.500 0.500
5 Al 0.000 0.293 0.293
6 Al 0.000 0.707 0.707
7 Al 0.250 0.500 0.750
8 Al 0.250 0.750 0.500
9 Al 0.293 0.000 0.293
10 Al 0.293 0.293 0.000
11 Al 0.500 0.250 0.750
12 Al 0.500 0.750 0.250
13 Al 0.707 0.000 0.707
14 Al 0.707 0.707 0.000
15 Al 0.750 0.250 0.500
16 Al 0.750 0.500 0.250
17 Pt 0.000 0.000 0.000

| no. | M_tot (μB per formula unit) | total energy (eV per atom) |
| --- | --- | --- |
| 1 | 0.00 | -4.803 |
| 2 | 0.00 | -3.474 |
| 3 | 0.96 | -5.759 |
| 4 | 0.00 | -5.090 |
| 5 | 1.31 | -4.639 |
| 6 | 0.00 | -4.420 |
| 7 | 0.00 | -4.480 |
| 8 | 0.00 | -2.513 |
| 9 | 2.67 | -7.511 |
| 10 | 0.00 | -5.778 |
| 11 | 0.49 | -3.220 |
| 12 | 0.00 | -4.634 |